# 1
This record from Alexandria via LeMat-Bulk describes a geometry-optimized CaYTl2 structure. The functional is PBEsol.

a b c (Å): 3.7282 3.7282 7.6760
angles (deg): 90.00 90.00 90.00
Closest atoms and distances in Å follow each position.
Fractional coordinates of all 4 atoms:
Ca1 0.0000 0.0000 0.0000  8 Tl 3.28
Y1 0.0000 0.0000 0.5000  8 Tl 3.24
Tl1 0.5000 0.5000 0.2548  4 Y 3.24, 4 Ca 3.28
Tl2 0.5000 0.5000 0.7452  4 Y 3.24, 4 Ca 3.28

Calculated values
raw total energy = -4.03 eV/atom
space-group type = P4/mmm
volume = 107 Å³/cell
density = 8.37 Mg/m³


# 2
This record from Alexandria via LeMat-Bulk describes a geometry-optimized VOF structure. The functional is PBEsol.

a b c (Å): 6.0766 5.7476 5.0835
angles (deg): 67.94 61.23 50.83
Closest atoms and distances in Å follow each position.
Fractional coordinates of all 12 atoms:
V1 0.0743 0.6757 0.0743  2 F 1.98, 4 O 1.99-2.02
V2 0.3243 0.9257 0.3243  2 F 1.98, 4 O 1.99-2.02
V3 0.6757 0.0743 0.6757  2 F 1.98, 4 O 1.99-2.02
V4 0.9257 0.3243 0.9257  2 F 1.98, 4 O 1.99-2.02
O1 0.0093 0.0093 0.7407  4 V 1.99-2.02
O2 0.2593 0.2593 0.9907  4 V 1.99-2.02
O3 0.7407 0.7407 0.0093  4 V 1.99-2.02
O4 0.9907 0.9907 0.2593  4 V 1.99-2.02
F1 0.0000 0.5000 0.5000  2 V 1.98
F2 0.5000 0.0000 0.5000  2 V 1.98
F3 0.5000 0.5000 0.0000  2 V 1.98
F4 0.5000 0.5000 0.5000  2 V 1.98

Calculated values
raw formation energy = -2432 meV per atom
space-group type = Fddd
volume = 120 Å³/cell
density = 4.76 Mg/m³